# ReBPt2 | the Alexandria database | PBE | relaxed
data_ReBPt2
_chemical_formula_sum 'Re1 B1 Pt2'
_space_group_name_H-M_alt 'P 1'
_space_group_IT_number 1
_cell_length_a 8.6190
_cell_length_b 8.6190
_cell_length_c 8.6190
_cell_angle_alpha 18.59
_cell_angle_beta 18.59
_cell_angle_gamma 18.59
loop_
_space_group_symop_operation_xyz
'x,y,z'
loop_
_atom_site_label
_atom_site_fract_x
_atom_site_fract_y
_atom_site_fract_z
_atom_site_occupancy
Re1 0.0000 0.0000 0.0000 1
B1 0.5000 0.5000 0.5000 1
Pt1 0.1073 0.1073 0.1073 1
Pt2 0.8927 0.8927 0.8927 1
# E in eV per atom: -7.42
# Total moment in μB per formula unit: 0.00
# Space-group type: R-3m (166)